# 1
The following is a DFT calculation (PBE) of a geometry-optimized VTeI6 structure.

The value obtained for the total energy is -46.5 eV per cell. For the spin magnetization, the calculation gives 0.142 μB per atom.

The space group is C2/m (No. 12) and the conventional cell measures 7.9043, 12.6369 and 8.2064 Å, with angles of 90.00, 118.33 and 90.00 degrees. The distinct sites, in fractional coordinates, are V at (0.0000, 0.0000, 0.0000), Te at (0.0000, 0.5000, 0.5000), I at (0.2146, 0.0000, 0.8335) and I at (0.2330, 0.1599, 0.2429).

# 2
The following is a DFT calculation (PBE) of a geometry-optimized CaDyTm2Sb4 structure.

The value obtained for the total energy is -40.1 eV per cell. For the spin magnetization, the calculation gives 0.000 μB per atom.

The space group is P2/m (No. 10) and the conventional cell measures 7.6265, 4.3567 and 7.6401 Å, with angles of 90.00, 109.03 and 90.00 degrees. The distinct sites, in fractional coordinates, are Ca at (0.0000, 0.0000, 0.0000), Dy at (0.5000, 0.5000, 0.0000), Tm at (0.0000, 0.5000, 0.5000), Tm at (0.5000, 0.0000, 0.5000), Sb at (0.2514, 0.0000, 0.7440) and Sb at (0.2573, 0.5000, 0.2597).

# 3
The following is a DFT calculation (PBE) of a geometry-optimized Ta2BeNi structure.

The calculation puts the formation energy at -0.83 kcal/mol of atoms. The value obtained for the total energy is -66.7 eV per cell. For the spin magnetization, the calculation gives 0.000 μB per atom.

The space group is C2/m (No. 12) and the conventional cell measures 5.6540, 7.2891 and 2.7414 Å, with angles of 90.00, 90.29 and 90.00 degrees. The distinct sites, in fractional coordinates, are Ta at (0.2500, 0.2500, 0.0000), Be at (0.0000, 0.0000, 0.5000) and Ni at (0.0000, 0.5000, 0.5000).

# 4
The following is a DFT calculation (PBE) of a geometry-optimized BH2W structure.

The value obtained for the total energy is -69.9 eV per cell. The calculation puts the energy above the most stable polymorph in this dataset at 0.2457 eV per atom. For the spin magnetization, the calculation gives 0.000 μB per atom.

The space group is R-3m (No. 166, hexagonal axes) and the conventional cell measures 2.8789, 2.8789 and 11.8134 Å, with angles of 90.00, 90.00 and 120.00 degrees. The distinct sites, in fractional coordinates, are B at (0.0000, 0.0000, 0.0000), H at (0.0000, 0.0000, 0.3507) and W at (0.0000, 0.0000, 0.5000).

Q: What is the spin magnetization in the second record?
A: 0.000 μB per atom